Record 1
VASP calculation (GGA-PBEsol) on a relaxed structure of AlZn3.

a b c (Å): 2.7601 2.7601 7.7318
angles (deg): 90.00 90.00 90.00
Fractional positions:
Zn (0.5000, 0.5000, 0.7428)
Zn (0.5000, 0.5000, 0.2572)
Zn (0.0000, 0.0000, 0.5000)
Al (0.0000, 0.0000, 0.0000)

Properties
Symmetry: P4/mmm (123)
Total energy in eV for the cell shown: -8.748
Mass density in g/cm³: 6.29
Energy of formation in eV/atom: 0.022


Record 2
VASP calculation (GGA-PBEsol) on a relaxed structure of Rb3HSe2O8.

a b c (Å): 6.0431 6.0431 8.2229
angles (deg): 69.67 69.67 59.81
Fractional positions:
O (0.7086, 0.2525, 0.3143)
O (0.2914, 0.7475, 0.6857)
O (0.6127, 0.6127, 0.0117)
H (0.5000, 0.5000, 0.0000)
Se (0.4264, 0.4264, 0.7634)
O (0.2525, 0.7086, 0.3143)
Rb (0.0000, 0.0000, 0.0000)
Rb (0.8020, 0.8020, 0.6101)
Rb (0.1980, 0.1980, 0.3899)
Se (0.5736, 0.5736, 0.2366)
O (0.2790, 0.2790, 0.7361)
O (0.7475, 0.2914, 0.6857)
O (0.7210, 0.7210, 0.2639)
O (0.3873, 0.3873, 0.9883)

Properties
Symmetry: C2/m (12)
Total energy in eV for the cell shown: -73.867
Mass density in g/cm³: 3.79


Record 3
VASP calculation (GGA-PBEsol) on a relaxed structure of ScCl.

a b c (Å): 3.3422 6.4042 6.4586
angles (deg): 119.27 90.00 105.13
Fractional positions:
Cl (0.6107, 0.2213, 0.6410)
Cl (0.6820, 0.3641, 0.2140)
Sc (0.2480, 0.4960, 0.9846)
Cl (0.3726, 0.7452, 0.7470)
Sc (0.9962, 0.9924, 0.0906)
Sc (0.9238, 0.8477, 0.4895)

Properties
Symmetry: Cm (8)
Total energy in eV for the cell shown: -33.509
Mass density in g/cm³: 3.48
Formation energy from raw total energies in eV/f.u.: -2.56


Record 4
VASP calculation (GGA-PBEsol) on a relaxed structure of Tl2AgMo.

a b c (Å): 4.2258 4.2258 5.2770
angles (deg): 113.60 113.60 90.00
Fractional positions:
Tl (0.7500, 0.2500, 0.5000)
Mo (0.0000, 0.0000, 0.0000)
Ag (0.5000, 0.5000, 0.0000)
Tl (0.2500, 0.7500, 0.5000)

Properties
Symmetry: I4/mmm (139)
Total energy in eV for the cell shown: -17.370
Mass density in g/cm³: 13.10
Energy of formation in eV/atom: 0.742
Distance to the lowest polymorph of the same formula in eV per formula unit: 0.81


Record 5
VASP calculation (GGA-PBEsol) on a relaxed structure of Al2BiSb2.

a b c (Å): 4.0013 4.0013 8.2660
angles (deg): 104.01 104.01 90.00
Fractional positions:
Al (0.7500, 0.2500, 0.5000)
Bi (0.0000, 0.0000, 0.0000)
Sb (0.3799, 0.3799, 0.7598)
Sb (0.6201, 0.6201, 0.2402)
Al (0.2500, 0.7500, 0.5000)

Properties
Symmetry: I4/mmm (139)
Total energy in eV for the cell shown: -20.919
Mass density in g/cm³: 6.76
Formation energy from raw total energies in eV/f.u.: 0.66


Record 6
VASP calculation (GGA-PBEsol) on a relaxed structure of Sr2ZnAs.

a b c (Å): 4.3430 4.4750 6.2136
angles (deg): 111.11 90.00 90.00
Fractional positions:
Sr (0.0000, 0.2631, 0.5262)
As (0.5000, 0.6977, 0.3953)
Sr (0.5000, 0.9857, 0.9713)
Zn (0.0000, 0.5536, 0.1072)

Properties
Symmetry: Amm2 (38)
Total energy in eV for the cell shown: -13.170
Mass density in g/cm³: 4.65
Energy of formation in eV/atom: -0.700
Distance to the lowest polymorph of the same formula in eV per formula unit: 0.00


Record 7
VASP calculation (GGA-PBEsol) on a relaxed structure of CoCuTc2.

a b c (Å): 2.6006 4.5121 4.5256
angles (deg): 109.40 90.00 90.00
Site moments in Bohr magnetons follow the coordinates.
Fractional positions:
Co (0.5000, 0.0000, 0.5000)  1.02
Cu (0.0000, 0.5000, 0.5000)  0.04
Tc (0.5000, 0.5000, 0.0000)  0.03
Tc (0.0000, 0.0000, 0.0000)  -0.01

Properties
Symmetry: P2/m (10)
Total energy in eV for the cell shown: -33.580
Mass density in g/cm³: 10.56
Energy of formation in eV/atom: 0.256
Distance to the lowest polymorph of the same formula in eV per formula unit: 0.17


Record 8
VASP calculation (GGA-PBEsol) on a relaxed structure of Re2POs.

a b c (Å): 2.8496 2.8496 6.5893
angles (deg): 90.00 90.00 90.00
Fractional positions:
Os (0.5000, 0.5000, 0.0000)
Re (0.0000, 0.0000, 0.7201)
Re (0.0000, 0.0000, 0.2799)
P (0.5000, 0.5000, 0.5000)

Properties
Symmetry: P4/mmm (123)
Total energy in eV for the cell shown: -45.258
Mass density in g/cm³: 18.42
Energy of formation in eV/atom: -0.147


Record 9
VASP calculation (GGA-PBEsol) on a relaxed structure of ScCd5.

a b c (Å): 4.3689 4.4732 6.6602
angles (deg): 90.00 109.15 90.00
Fractional positions:
Cd (0.3371, 0.0000, 0.6742)
Sc (0.5000, 0.5000, 0.0000)
Cd (0.1705, 0.5000, 0.3411)
Cd (0.6629, 0.0000, 0.3258)
Cd (0.0000, 0.0000, 0.0000)
Cd (0.8295, 0.5000, 0.6589)

Properties
Symmetry: Cmmm (65)
Total energy in eV for the cell shown: -13.631
Mass density in g/cm³: 8.20
Energy of formation in eV/atom: -0.173


Record 10
VASP calculation (GGA-PBEsol) on a relaxed structure of LiBeAu2.

a b c (Å): 2.9087 4.2388 4.2388
angles (deg): 90.00 90.00 90.00
Fractional positions:
Be (0.5000, 0.0000, 0.0000)
Li (0.5000, 0.5000, 0.5000)
Au (0.0000, 0.5000, 0.0000)
Au (0.0000, 0.0000, 0.5000)

Properties
Symmetry: P4/mmm (123)
Total energy in eV for the cell shown: -15.244
Mass density in g/cm³: 13.02
Energy of formation in eV/atom: -0.357


Record 11
VASP calculation (GGA-PBEsol) on a relaxed structure of Li2Br.

a b c (Å): 3.4265 4.4040 4.4040
angles (deg): 90.00 90.00 90.00
Fractional positions:
Li (0.5000, 0.0000, 0.5000)
Li (0.5000, 0.5000, 0.0000)
Br (0.0000, 0.0000, 0.0000)

Properties
Symmetry: P4/mmm (123)
Total energy in eV for the cell shown: -7.956
Mass density in g/cm³: 2.34
Formation energy from raw total energies in eV/f.u.: -2.15


Record 12
VASP calculation (GGA-PBEsol) on a relaxed structure of MgMnBr2.

a b c (Å): 3.4471 3.4334 8.4740
angles (deg): 101.69 90.00 90.00
Site moments in Bohr magnetons follow the coordinates.
Fractional positions:
Br (0.0000, 0.1579, 0.9461)  0.12
Mn (0.5000, 0.0551, 0.7325)  4.05
Br (0.5000, 0.8504, 0.3237)  0.03
Mg (0.0000, 0.4366, 0.4977)  -0.02

Properties
Symmetry: Pm (6)
Total energy in eV for the cell shown: -16.486
Mass density in g/cm³: 4.04
Formation energy from raw total energies in eV/f.u.: -1.27
Distance to the lowest polymorph of the same formula in eV per formula unit: 0.00


Record 13
VASP calculation (GGA-PBEsol) on a relaxed structure of TeMoIr.

a b c (Å): 3.0406 3.0406 6.4483
angles (deg): 90.00 90.00 120.00
Fractional positions:
Ir (0.0000, 0.0000, 0.9838)
Te (0.6667, 0.3333, 0.3417)
Mo (0.3333, 0.6667, 0.6745)

Properties
Symmetry: P3m1 (156)
Total energy in eV for the cell shown: -23.933
Mass density in g/cm³: 13.37
Formation energy from raw total energies in eV/f.u.: 1.18


Record 14
VASP calculation (GGA-PBEsol) on a relaxed structure of FeRu2Pt.

a b c (Å): 2.6754 3.7164 5.3431
angles (deg): 90.00 90.00 90.00
Site moments in Bohr magnetons follow the coordinates.
Fractional positions:
Ru (0.5000, 0.5000, 0.2451)  -0.05
Ru (0.0000, 0.0000, 0.0203)  0.00
Pt (0.5000, 0.5000, 0.7413)  0.12
Fe (0.0000, 0.0000, 0.4933)  2.54

Properties
Symmetry: Pmm2 (25)
Total energy in eV for the cell shown: -36.191
Mass density in g/cm³: 14.16
Energy of formation in eV/atom: 0.020


Record 15
VASP calculation (GGA-PBEsol) on a relaxed structure of TaTl.

a b c (Å): 2.9816 2.9816 4.8338
angles (deg): 90.00 90.00 111.76
Fractional positions:
Tl (0.5000, 0.5000, 0.5000)
Ta (0.0000, 0.0000, 0.0000)

Properties
Symmetry: Cmmm (65)
Total energy in eV for the cell shown: -14.091
Mass density in g/cm³: 16.03
Energy of formation in eV/atom: 0.545
Distance to the lowest polymorph of the same formula in eV per formula unit: 0.04


Record 16
VASP calculation (GGA-PBEsol) on a relaxed structure of MgTa2Be.

a b c (Å): 3.3234 3.3234 6.1766
angles (deg): 90.00 90.00 90.00
Fractional positions:
Ta (0.0000, 0.0000, 0.0453)
Mg (0.5000, 0.5000, 0.7348)
Ta (0.5000, 0.5000, 0.2586)
Be (0.0000, 0.0000, 0.4613)

Properties
Symmetry: P4mm (99)
Total energy in eV for the cell shown: -29.329
Mass density in g/cm³: 9.62
Energy of formation in eV/atom: 0.372
Distance to the lowest polymorph of the same formula in eV per formula unit: 0.09


Record 17
VASP calculation (GGA-PBEsol) on a relaxed structure of Y2TlFe2.

a b c (Å): 3.7021 4.0374 6.9708
angles (deg): 90.00 105.40 90.00
Fractional positions:
Tl (0.0000, 0.0000, 0.0000)
Fe (0.2127, 0.0000, 0.4254)
Fe (0.7873, 0.0000, 0.5746)
Y (0.3618, 0.5000, 0.7236)
Y (0.6382, 0.5000, 0.2764)

Properties
Symmetry: Cmmm (65)
Total energy in eV for the cell shown: -35.145
Mass density in g/cm³: 8.16
Energy of formation in eV/atom: -0.189


Record 18
VASP calculation (GGA-PBEsol) on a relaxed structure of AlSnPPd2.

a b c (Å): 4.8728 4.9313 4.9313
angles (deg): 90.00 90.00 90.00
Fractional positions:
Sn (0.0000, 0.0000, 0.0000)
P (0.5000, 0.0000, 0.0000)
Pd (0.0000, 0.0000, 0.5000)
Pd (0.0000, 0.5000, 0.0000)
Al (0.5000, 0.5000, 0.5000)

Properties
Symmetry: P4/mmm (123)
Total energy in eV for the cell shown: -21.926
Mass density in g/cm³: 5.46
Energy of formation in eV/atom: 0.827


Record 19
VASP calculation (GGA-PBEsol) on a relaxed structure of Hg3NF.

a b c (Å): 4.6102 4.6102 4.6103
angles (deg): 90.00 90.00 90.00
Fractional positions:
Hg (0.0000, 0.0000, 0.5000)
Hg (0.5000, 0.0000, 0.0000)
N (0.0000, 0.0000, 0.0000)
Hg (0.0000, 0.5000, 0.0000)
F (0.5000, 0.5000, 0.5000)

Properties
Symmetry: Pm-3m (221)
Total energy in eV for the cell shown: -11.035
Mass density in g/cm³: 10.76
Formation energy from raw total energies in eV/f.u.: 1.12


Record 20
VASP calculation (GGA-PBEsol) on a relaxed structure of SrBi2P2.

a b c (Å): 3.9296 8.1767 8.1767
angles (deg): 90.00 90.00 90.00
Fractional positions:
Bi (0.5000, 0.1582, 0.6582)
P (0.0000, 0.6766, 0.1766)
Bi (0.5000, 0.8418, 0.3418)
Bi (0.5000, 0.3418, 0.1582)
P (0.0000, 0.3234, 0.8234)
Sr (0.0000, 0.5000, 0.5000)
P (0.0000, 0.1766, 0.3234)
P (0.0000, 0.8234, 0.6766)
Sr (0.0000, 0.0000, 0.0000)
Bi (0.5000, 0.6582, 0.8418)

Properties
Symmetry: P4/mbm (127)
Total energy in eV for the cell shown: -46.004
Mass density in g/cm³: 7.17
Energy of formation in eV/atom: -0.202
Distance to the lowest polymorph of the same formula in eV per formula unit: 0.35


no.,D(E_F) (states/eV per atom),volume (Å³/f.u.)
1,0.347,59
2,0.000,238
3,0.782,38
4,1.216,78
5,0.512,124
6,0.383,113
7,1.110,50
8,0.554,54
9,0.512,123
10,0.290,52
11,0.439,66
12,0.385,98
13,0.960,52
14,0.983,53
15,0.629,40
16,0.871,68
17,0.978,100
18,0.950,118
19,0.248,98
20,0.614,131